1.
! Rb2TeBr5 (PBE-GGA, relaxed); values from VASP
&SYSTEM
  ibrav = 0, nat = 16, ntyp = 3
/
ATOMIC_SPECIES
Rb 85.47 Rb.upf
Te 127.60 Te.upf
Br 79.90 Br.upf
ATOMIC_POSITIONS crystal
Rb 0.839 0.678 0.417
Rb 0.839 0.678 0.083
Rb 0.161 0.322 0.583
Rb 0.161 0.322 0.917
Te 0.830 0.660 0.750
Te 0.170 0.340 0.250
Br 0.947 0.894 0.879
Br 0.947 0.894 0.621
Br 0.291 0.581 0.387
Br 0.291 0.581 0.113
Br 0.683 0.367 0.250
Br 0.317 0.633 0.750
Br 0.709 0.419 0.613
Br 0.709 0.419 0.887
Br 0.053 0.106 0.121
Br 0.053 0.106 0.379
CELL_PARAMETERS angstrom
-1.030 6.366 -0.178
-4.296 -4.142 -6.377
-11.662 -1.638 8.922
! mass density: 3.0 g cm⁻³
! energy: -2.708 eV/atom
! crystal system: orthorhombic
! formation energy without anion corrections: -1.03 eV/atom
! calculated volume: 48.35 Å³ per atom

---

2.
! YCuHg2 (PBE-GGA, relaxed); values from VASP
&SYSTEM
  ibrav = 0, nat = 4, ntyp = 3
/
ATOMIC_SPECIES
Cu 63.55 Cu.upf
Hg 200.59 Hg.upf
Y 88.91 Y.upf
ATOMIC_POSITIONS crystal
Cu 0.250 0.250 0.250
Hg 0.000 0.000 0.000
Hg 0.750 0.750 0.750
Y 0.500 0.500 0.500
CELL_PARAMETERS angstrom
-3.918 -2.719 -1.192
-0.668 -1.426 -4.657
0.567 -4.730 -1.233
! E_form: -223 meV per atom
! mass density: 10.9 g cm⁻³
! energy: -3.014 eV/atom
! crystal system: tetragonal
! calculated volume: 21.02 Å³ per atom

---

3.
! La3SmHo7 (PBE-GGA, relaxed); values from VASP
&SYSTEM
  ibrav = 0, nat = 11, ntyp = 3
/
ATOMIC_SPECIES
La 138.91 La.upf
Sm 150.36 Sm.upf
Ho 164.93 Ho.upf
ATOMIC_POSITIONS crystal
La 0.214 0.998 0.714
La 0.000 0.500 0.000
La 0.786 0.002 0.286
Sm 0.500 0.500 0.500
Ho 0.908 0.829 0.908
Ho 0.813 0.636 0.313
Ho 0.644 0.289 0.144
Ho 0.356 0.711 0.856
Ho 0.500 0.000 0.500
Ho 0.187 0.364 0.687
Ho 0.092 0.171 0.092
CELL_PARAMETERS angstrom
8.432 -0.816 -2.864
-2.292 9.908 -0.647
-1.886 -0.097 5.220
! E_form: 153 meV per atom
! mass density: 7.7 g cm⁻³
! energy: -4.533 eV/atom
! crystal system: triclinic
! calculated volume: 33.69 Å³ per atom

---

4.
! AlReSbI2 (PBE-GGA, relaxed); values from VASP
&SYSTEM
  ibrav = 0, nat = 5, ntyp = 4
/
ATOMIC_SPECIES
I 126.90 I.upf
Re 186.21 Re.upf
Al 26.98 Al.upf
Sb 121.76 Sb.upf
ATOMIC_POSITIONS crystal
I 0.000 0.000 0.500
I 0.500 0.000 0.000
Re 0.000 0.500 0.000
Al 0.500 0.500 0.500
Sb 0.000 0.000 0.000
CELL_PARAMETERS angstrom
6.371 0.000 0.000
0.000 5.103 0.000
0.000 0.000 6.371
! mass density: 4.7 g cm⁻³
! energy: -3.461 eV/atom
! crystal system: tetragonal
! formation energy without anion corrections: 1.22 eV/atom
! calculated volume: 41.43 Å³ per atom

---

5.
! In6Ga2Sn (PBE-GGA, relaxed); values from VASP
&SYSTEM
  ibrav = 0, nat = 9, ntyp = 3
/
ATOMIC_SPECIES
In 114.82 In.upf
Ga 69.72 Ga.upf
Sn 118.71 Sn.upf
ATOMIC_POSITIONS crystal
In 0.740 0.396 0.124
In 0.260 0.604 0.876
In 0.337 0.778 0.547
In 0.026 0.652 0.296
In 0.974 0.348 0.704
In 0.663 0.222 0.453
Ga 0.358 0.034 0.250
Ga 0.642 0.966 0.750
Sn 0.000 0.000 0.000
CELL_PARAMETERS angstrom
-2.549 2.198 0.769
-5.195 -1.790 -4.353
-6.010 -6.221 5.615
! E_form: 43 meV per atom
! mass density: 6.8 g cm⁻³
! energy: -2.900 eV/atom
! crystal system: monoclinic
! calculated volume: 25.87 Å³ per atom

---

6.
! BeSiRu2 (PBE-GGA, relaxed); values from VASP
&SYSTEM
  ibrav = 0, nat = 4, ntyp = 3
/
ATOMIC_SPECIES
Ru 101.07 Ru.upf
Si 28.09 Si.upf
Be 9.01 Be.upf
ATOMIC_POSITIONS crystal
Ru 0.000 0.000 0.000
Ru 0.250 0.250 0.250
Si 0.750 0.750 0.750
Be 0.500 0.500 0.500
CELL_PARAMETERS angstrom
4.144 0.000 0.000
2.072 3.589 0.000
2.072 1.196 3.384
! mass density: 7.9 g cm⁻³
! energy: -6.881 eV/atom
! crystal system: cubic
! formation energy without anion corrections: 0.04 eV/atom
! calculated volume: 12.58 Å³ per atom

---

Number 1: magnetic moment 0.00 μB per atom. Number 2: magnetic moment 0.00 μB per atom. Number 3: magnetic moment 0.00 μB per atom. Number 4: magnetic moment 0.63 μB per atom. Number 5: magnetic moment 0.00 μB per atom. Number 6: magnetic moment 0.00 μB per atom.